DyCdGaCu | Alexandria via LeMat-Bulk | PBE-GGA | optimized geometry; space group = F-43m (216); density of states at the Fermi level = 0.49 states/eV per atom; VASP energy = -13.9 eV/cell; formation energy from the elements = -303 meV/atom
1.0
4.7792 0.0000 0.0000
2.3896 4.1389 0.0000
2.3896 1.3796 3.9022
Dy Cd Ga Cu
1 1 1 1
Direct
0.2500 0.2500 0.2500 Dy
0.7500 0.7500 0.7500 Cd
0.5000 0.5000 0.5000 Ga
0.0000 0.0000 0.0000 Cu



GdDyCdCu | Alexandria via LeMat-Bulk | PBE-GGA | optimized geometry; space group = F-43m (216); density of states at the Fermi level = 0.90 states/eV per atom; VASP energy = -24.6 eV/cell; formation energy from the elements = -221 meV/atom
1.0
-4.5172 1.0200 -2.2501
-1.0932 -2.0161 -4.6096
-3.5618 -3.6946 -0.4147
Cd Dy Cu Gd
1 1 1 1
Direct
0.7500 0.7500 0.7500 Cd
0.5000 0.5000 0.5000 Dy
0.2500 0.2500 0.2500 Cu
0.0000 0.0000 0.0000 Gd



DyCdCuGe | Alexandria via LeMat-Bulk | PBE-GGA | optimized geometry; space group = F-43m (216); density of states at the Fermi level = 0.34 states/eV per atom; VASP energy = -15.3 eV/cell; formation energy from the elements = -259 meV/atom
1.0
-3.1902 1.7179 3.1802
-2.8969 -3.0278 2.3837
0.6549 -0.7512 4.7169
Cd Ge Cu Dy
1 1 1 1
Direct
0.5000 0.5000 0.5000 Cd
0.2500 0.2500 0.2500 Ge
0.7500 0.7500 0.7500 Cu
0.0000 0.0000 0.0000 Dy



DyHoCdCu | Alexandria via LeMat-Bulk | PBE-GGA | optimized geometry; space group = F-43m (216); density of states at the Fermi level = 0.69 states/eV per atom; VASP energy = -15.1 eV/cell; formation energy from the elements = -232 meV/atom
1.0
5.1054 0.0000 0.0000
2.5527 4.4214 0.0000
2.5527 1.4738 4.1685
Dy Cd Cu Ho
1 1 1 1
Direct
0.0000 0.0000 0.0000 Dy
0.7500 0.7500 0.7500 Cd
0.2500 0.2500 0.2500 Cu
0.5000 0.5000 0.5000 Ho



Among the records above, which one has the highest density of states at the Fermi level? GdDyCdCu